Entry 1:
Entry from Alexandria: a relaxed structure of FePtAu (PBE).

Cell: 2.726 4.103 8.553 Å, 90.00 89.99 90.00°
Last column: magnetic moment on the atom in μB.
Atoms (fractional coordinates):
1 Fe 0.811 0.216 0.976  2.88
2 Fe 0.811 0.716 0.816  2.88
3 Pt 0.312 0.716 0.092  0.36
4 Pt 0.312 0.216 0.701  0.36
5 Au 0.812 0.216 0.286  0.01
6 Au 0.812 0.716 0.507  0.01

magnetization	6.5	μB/cell
DFT total energy	-0.43751	Ry/atom
energy of formation from the pure elements	-0.03	eV/atom
energy above the lowest structure with this stoichiometry	0.10	eV/f.u.


Entry 2:
Entry from Alexandria: a relaxed structure of RbGa3Ru (PBE).

Cell: 5.570 5.570 5.570 Å, 90.00 90.00 90.00°
Last column: magnetic moment on the atom in μB.
Atoms (fractional coordinates):
1 Ru 0.500 0.500 0.500  2.39
2 Ga 0.000 0.500 0.000  -0.06
3 Ga 0.000 0.000 0.500  -0.05
4 Ga 0.500 0.000 0.000  -0.04
5 Rb 0.000 0.000 0.000  -0.02

magnetization	2.1	μB/cell
DFT total energy	-0.13704	Ry/atom
energy of formation from the pure elements	2.00	eV/atom
energy above the lowest structure with this stoichiometry	11.29	eV/f.u.


Entry 3:
Entry from Alexandria: a relaxed structure of DyHo8Sc6 (PBE).

Cell: 6.335 9.020 9.020 Å, 120.00 90.00 90.00°
Atoms (fractional coordinates):
1 Dy 0.500 0.000 0.000
2 Ho 0.892 0.962 0.309
3 Ho 0.892 0.691 0.653
4 Ho 0.892 0.347 0.038
5 Ho 0.108 0.038 0.691
6 Ho 0.108 0.309 0.347
7 Ho 0.108 0.653 0.962
8 Ho 0.782 0.333 0.667
9 Ho 0.218 0.667 0.333
10 Sc 0.596 0.671 0.071
11 Sc 0.596 0.929 0.601
12 Sc 0.596 0.399 0.329
13 Sc 0.404 0.329 0.929
14 Sc 0.404 0.071 0.399
15 Sc 0.404 0.601 0.671

magnetization	0.0	μB/cell
DFT total energy	-0.37003	Ry/atom
energy of formation from the pure elements	0.25	eV/atom
energy above the lowest structure with this stoichiometry	0.85	eV/f.u.


Question: energy of formation from the pure elements of number 1 (FePtAu)?
Answer: -0.03 eV/atom


Question: The highest energy above the lowest structure with this stoichiometry belongs to which entry?
Answer: RbGa3Ru


Question: What is the energy above the lowest structure with this stoichiometry in the second record?
Answer: 11.29 eV/f.u.